! PBE LaNd3Sm6Tm2, optimized geometry; values from VASP
! Formation energy, kJ per mole of atoms: 2
! Magnetization, μB/cell: 0.00
! Electronic total energy, eV for the cell shown: -56.2
&SYSTEM
  ibrav = 0, nat = 12, ntyp = 4
/
ATOMIC_SPECIES
Nd 144.24 Nd.upf
Sm 150.36 Sm.upf
Tm 168.93 Tm.upf
La 138.91 La.upf
CELL_PARAMETERS angstrom
-4.236 4.109 2.161
2.401 -4.352 3.847
9.364 7.539 0.971
ATOMIC_POSITIONS angstrom
Nd 1.556 6.463 2.929
Nd 5.973 0.833 4.051
Nd 3.764 3.648 3.490
Sm 4.558 6.907 4.952
Sm 6.580 5.609 2.244
Sm 2.970 0.389 2.027
Sm 0.748 3.223 1.462
Sm 0.949 1.688 4.735
Sm 6.781 4.074 5.517
Tm -2.024 1.289 2.723
Tm 0.188 -1.531 3.285
La 0.000 0.000 0.000

=====

! PBE Pm2AlNi4Ge3, optimized geometry; values from VASP
! Formation energy, kJ per mole of atoms: -68
! Magnetization, μB/cell: 0.00
! Electronic total energy, eV for the cell shown: -57.3
&SYSTEM
  ibrav = 0, nat = 10, ntyp = 4
/
ATOMIC_SPECIES
Ge 72.64 Ge.upf
Ni 58.69 Ni.upf
Pm 145.00 Pm.upf
Al 26.98 Al.upf
CELL_PARAMETERS angstrom
4.118 0.000 0.000
0.000 4.118 0.000
0.000 0.000 9.838
ATOMIC_POSITIONS angstrom
Ge 0.000 0.000 4.919
Ge 2.059 0.000 8.590
Ge 0.000 2.059 1.247
Ni 2.059 0.000 6.212
Ni 2.059 2.059 0.000
Ni 0.000 2.059 3.626
Ni 0.000 0.000 0.000
Pm 0.000 2.059 7.413
Pm 2.059 0.000 2.424
Al 2.059 2.059 4.919

=====

! PBE Be2Fe2Bi, optimized geometry; values from VASP
! Formation energy, kJ per mole of atoms: 37
! Magnetization, μB/cell: 6.83
! Electronic total energy, eV for the cell shown: -52.7
! Energy above the most stable polymorph in this dataset, eV per atom: 0.000
&SYSTEM
  ibrav = 0, nat = 10, ntyp = 3
/
ATOMIC_SPECIES
Fe 55.84 Fe.upf
Bi 208.98 Bi.upf
Be 9.01 Be.upf
CELL_PARAMETERS angstrom
6.368 0.000 0.000
0.000 6.368 0.000
0.000 0.000 3.164
ATOMIC_POSITIONS angstrom
Fe 2.188 0.997 1.582
Fe 5.372 2.188 1.582
Fe 0.997 4.181 1.582
Fe 4.181 5.372 1.582
Bi 0.000 0.000 0.000
Bi 3.184 3.184 0.000
Be 3.907 0.723 0.000
Be 5.645 3.907 0.000
Be 0.723 2.461 0.000
Be 2.461 5.645 0.000

=====

! PBE AcSm4Er, optimized geometry; values from VASP
! Formation energy, kJ per mole of atoms: 18
! Magnetization, μB/cell: 0.00
! Electronic total energy, eV for the cell shown: -52.9
! Energy above the most stable polymorph in this dataset, eV per atom: 0.125
&SYSTEM
  ibrav = 0, nat = 12, ntyp = 3
/
ATOMIC_SPECIES
Sm 150.36 Sm.upf
Er 167.26 Er.upf
Ac 227.00 Ac.upf
CELL_PARAMETERS angstrom
-4.959 -3.659 -6.961
4.417 -2.391 3.271
-6.445 -0.385 8.422
ATOMIC_POSITIONS angstrom
Sm -3.946 -1.680 6.851
Sm -3.041 -4.755 -2.119
Sm -1.843 -3.507 2.676
Sm -4.228 -4.787 4.952
Sm -2.759 -1.648 -0.220
Sm -0.446 -2.227 7.216
Sm -6.540 -4.208 -2.484
Sm -5.143 -2.928 2.056
Er 0.422 -0.944 1.486
Er -7.409 -5.491 3.246
Ac -7.092 -2.443 5.046
Ac 0.106 -3.992 -0.314

=====

! PBE La3Pr2Sm6Pb, optimized geometry; values from VASP
! Formation energy, kJ per mole of atoms: -7
! Magnetization, μB/cell: 0.00
! Electronic total energy, eV for the cell shown: -57.2
&SYSTEM
  ibrav = 0, nat = 12, ntyp = 4
/
ATOMIC_SPECIES
Sm 150.36 Sm.upf
Pr 140.91 Pr.upf
Pb 207.20 Pb.upf
La 138.91 La.upf
CELL_PARAMETERS angstrom
-5.480 -2.914 0.968
5.315 -2.454 2.277
-1.424 7.937 8.962
ATOMIC_POSITIONS angstrom
Sm -0.478 -2.100 4.680
Sm -2.141 0.565 2.780
Sm -2.950 1.855 9.003
Sm 1.361 0.714 3.205
Sm 0.552 2.004 9.427
Sm -1.111 4.669 7.527
Pr 1.709 -2.608 1.840
Pr -1.874 -2.760 1.406
Pb 0.000 0.000 0.000
La 2.768 1.436 6.536
La -4.357 1.133 5.672
La -0.794 1.284 6.104

=====

! PBE La2AgAs, optimized geometry; values from VASP
! Formation energy, kJ per mole of atoms: -43
! Magnetization, μB/cell: 1.68
! Electronic total energy, eV for the cell shown: -19.1
&SYSTEM
  ibrav = 0, nat = 4, ntyp = 3
/
ATOMIC_SPECIES
La 138.91 La.upf
Ag 107.87 Ag.upf
As 74.92 As.upf
CELL_PARAMETERS angstrom
-5.131 5.909 0.940
-6.395 3.778 -2.638
-7.445 2.241 1.296
ATOMIC_POSITIONS angstrom
La -0.548 0.345 -0.012
La -4.231 2.660 -0.090
Ag -8.908 5.601 -0.189
As -14.769 9.286 -0.314

=====

! PBE ReC3O, optimized geometry; values from VASP
! Magnetization, μB/cell: 1.00
! Electronic total energy, eV for the cell shown: -34.1
! Energy above the most stable polymorph in this dataset, eV per atom: 0.000
! E_form (uncorrected), eV/f.u.: 10.98
&SYSTEM
  ibrav = 0, nat = 5, ntyp = 3
/
ATOMIC_SPECIES
C 12.01 C.upf
O 16.00 O.upf
Re 186.21 Re.upf
CELL_PARAMETERS angstrom
4.024 0.000 0.000
0.000 4.024 0.000
0.000 0.000 4.024
ATOMIC_POSITIONS angstrom
C 0.000 0.000 2.012
C 0.000 2.012 0.000
C 2.012 0.000 0.000
O 2.012 2.012 2.012
Re 0.000 0.000 0.000

=====

! PBE BeHS, optimized geometry; values from VASP
! Magnetization, μB/cell: 0.00
! Electronic total energy, eV for the cell shown: -10.6
! Energy above the most stable polymorph in this dataset, eV per atom: 0.824
&SYSTEM
  ibrav = 0, nat = 3, ntyp = 3
/
ATOMIC_SPECIES
Be 9.01 Be.upf
S 32.06 S.upf
H 1.01 H.upf
CELL_PARAMETERS angstrom
-0.723 -3.159 0.069
3.099 -0.695 0.650
-1.721 2.109 2.375
ATOMIC_POSITIONS angstrom
Be 1.019 -1.870 1.225
S -0.291 0.099 1.492
H 0.741 -1.775 2.652